# Ac2La5Ir4 GGA-PBE relaxed
# Calculated total energy: -6.667 eV/atom
# ΔE_f: -458 meV/atom
data_Ac2La5Ir4
_chemical_formula_sum 'Ac4 La10 Ir8'
_cell_length_a 23.825
_cell_length_b 4.089
_cell_length_c 7.504
_cell_angle_alpha 90.00
_cell_angle_beta 107.73
_cell_angle_gamma 90.00
_symmetry_space_group_name_H-M 'C 1 2/m 1'
_symmetry_Int_Tables_number 12
_symmetry_space_group_name_Hall '-C 2y'
loop_
_atom_site_label
_atom_site_fract_x
_atom_site_fract_y
_atom_site_fract_z
Ac1 0.072 0.000 0.040
La1 0.000 0.000 0.500
La2 0.177 0.500 0.426
La3 0.185 0.500 0.910
Ir1 0.023 0.500 0.237
Ir2 0.210 0.000 0.204